Record 1
VASP calculation (GGA-PBE) on a relaxed structure of PmHoPu2Te5.

Summary:
Formation energy (no corrections) ... -6.385 eV per formula unit

abc: 5.5042 5.5042 11.7207
angles: 90.00 90.00 90.00
Space group P4/mmm (No. 123)
Symmetry-distinct sites (fractional):
Pm1 0.0000 0.0000 0.0000 (multiplicity 1)
Ho1 0.0000 0.0000 0.5000 (multiplicity 1)
Pu1 0.5000 0.5000 0.3223 (multiplicity 2)
Te1 0.0000 0.0000 0.2479 (multiplicity 2)
Te2 0.0000 0.5000 0.5000 (multiplicity 2)
Te3 0.5000 0.5000 0.0000 (multiplicity 1)

=====

Record 2
VASP calculation (GGA-PBE) on a relaxed structure of BSbRh2.

Summary:
Relative energy among the computed polymorphs ... 0 meV per atom
Formation energy (no corrections) ... -0.259 eV per formula unit

abc: 5.2849 5.2849 10.2012
angles: 90.00 90.00 90.00
Space group I-42d (No. 122)
Symmetry-distinct sites (fractional):
B1 0.0000 0.0000 0.0000 (multiplicity 4)
Sb1 0.0000 0.0000 0.5000 (multiplicity 4)
Rh1 0.1564 0.2500 0.1250 (multiplicity 8)

=====

Record 3
VASP calculation (GGA-PBE) on a relaxed structure of MgUSn2.

Summary:
Energy of formation ... 4 kJ/mol of formula units

abc: 3.7516 3.7516 6.9964
angles: 90.00 90.00 90.00
Space group P4/mmm (No. 123)
Symmetry-distinct sites (fractional):
Mg1 0.0000 0.0000 0.0000 (multiplicity 1)
U1 0.0000 0.0000 0.5000 (multiplicity 1)
Sn1 0.5000 0.5000 0.2240 (multiplicity 2)

=====

Record 4
VASP calculation (GGA-PBE) on a relaxed structure of RuPbAu2.

Summary:
Energy of formation ... 134 kJ/mol of formula units

abc: 10.2516 3.1740 5.2293
angles: 90.00 115.87 90.00
Space group Cm (No. 8)
Symmetry-distinct sites (fractional):
Ru1 0.0000 0.0000 0.0000 (multiplicity 2)
Pb1 0.2399 0.5000 0.0640 (multiplicity 2)
Au1 0.0183 0.5000 0.4728 (multiplicity 2)
Au2 0.2741 0.0000 0.5843 (multiplicity 2)